1.
Ba4PbF10 after structural relaxation, computed with PBE.

Cell lengths 18.0838, 18.0838, 18.0838 Å; angles 14.00, 14.00, 14.00 degrees
Closest atoms and distances in Å follow each position.
Fractional coordinates of all 15 atoms:
Ba  0.1019  0.1019  0.1019  8 F 2.70-2.73
Ba  0.2994  0.2994  0.2994  8 F 2.71-2.73
Ba  0.7006  0.7006  0.7006  8 F 2.71-2.73
Ba  0.8981  0.8981  0.8981  8 F 2.70-2.73
Pb  0.5000  0.5000  0.5000  8 F 2.56-2.66
F  0.0511  0.0511  0.0511  4 Ba 2.71-2.73
F  0.1523  0.1523  0.1523  3 Pb 2.66, 1 Ba 2.70, 3 F 2.98
F  0.2486  0.2486  0.2486  4 Ba 2.71-2.73
F  0.3501  0.3501  0.3501  4 Ba 2.71-2.73
F  0.4523  0.4523  0.4523  1 Pb 2.56, 3 Ba 2.70
F  0.5477  0.5477  0.5477  1 Pb 2.56, 3 Ba 2.70
F  0.6499  0.6499  0.6499  4 Ba 2.71-2.73
F  0.7514  0.7514  0.7514  4 Ba 2.71-2.73
F  0.8477  0.8477  0.8477  3 Pb 2.66, 1 Ba 2.70, 3 F 2.98
F  0.9489  0.9489  0.9489  4 Ba 2.71-2.73

Values from the calculation:
Space-group type: No. 166
M_tot in μB/f.u.: 0.0
Energy relative to the elements, uncorrected in meV/atom: -3582

=====

2.
NaSr3Ir after structural relaxation, computed with PBE.

Cell lengths 10.7223, 10.7223, 9.1007 Å; angles 90.53, 90.53, 22.90 degrees
Closest atoms and distances in Å follow each position.
Fractional coordinates of all 10 atoms:
Na  0.2184  0.2184  0.1518  2 Na 3.74, 7 Sr 3.99-4.18
Na  0.7816  0.7816  0.8482  2 Na 3.74, 7 Sr 3.99-4.18
Sr  0.0322  0.0322  0.3082  4 Ir 2.99-3.27
Sr  0.1590  0.1590  0.5780  2 Ir 3.06
Sr  0.4064  0.4064  0.0932  1 Ir 3.11
Sr  0.5936  0.5936  0.9068  1 Ir 3.11
Sr  0.8410  0.8410  0.4220  2 Ir 3.06
Sr  0.9678  0.9678  0.6918  4 Ir 2.99-3.27
Ir  0.4458  0.4458  0.4231  1 Ir 2.66
Ir  0.5542  0.5542  0.5769  1 Ir 2.66

Values from the calculation:
Formation enthalpy at 0 K in meV per atom: -79.1
Space-group type: No. 12
Polymorph energy (0 for the lowest one) in eV/atom: 0.044
M_tot in μB/f.u.: 0.0

=====

3.
Tl3RhCl7 after structural relaxation, computed with PBE.

Cell lengths 7.1898, 7.1898, 7.5091 Å; angles 110.55, 110.55, 84.53 degrees
Closest atoms and distances in Å follow each position.
Fractional coordinates of all 11 atoms:
Tl  0.0000  0.0000  0.0000  3 Cl 3.02-3.37
Tl  0.2805  0.7145  0.4786  4 Cl 2.80-3.14
Tl  0.7145  0.2805  0.4786  4 Cl 2.80-3.14
Rh  0.5048  0.5048  0.9855  6 Cl 2.35-2.37
Cl  0.0101  0.0101  0.4083  3 Tl 2.80-3.02
Cl  0.1895  0.5432  0.7599  1 Rh 2.37
Cl  0.3501  0.3501  0.1296  1 Rh 2.36
Cl  0.4671  0.8180  0.2153  1 Rh 2.37
Cl  0.5432  0.1895  0.7599  1 Rh 2.37
Cl  0.6565  0.6565  0.8383  1 Rh 2.35
Cl  0.8180  0.4671  0.2153  1 Rh 2.37

Values from the calculation:
Space-group type: No. 8
M_tot in μB/f.u.: 0.0
Energy relative to the elements, uncorrected in meV/atom: -770

=====

4.
NaHg3Pd3 after structural relaxation, computed with PBE.

Cell lengths 7.5117, 7.5117, 7.5117 Å; angles 90.00, 90.00, 90.00 degrees
Closest atoms and distances in Å follow each position.
Fractional coordinates of all 14 atoms:
Na  0.0000  0.0000  0.0000  12 Hg 4.20, 12 Pd 4.20
Na  0.5000  0.5000  0.5000  12 Hg 4.20, 12 Pd 4.20
Hg  0.0000  0.2500  0.5000  4 Pd 2.66
Hg  0.0000  0.7500  0.5000  4 Pd 2.66
Hg  0.2500  0.5000  0.0000  4 Pd 2.66
Hg  0.5000  0.0000  0.2500  4 Pd 2.66
Hg  0.5000  0.0000  0.7500  4 Pd 2.66
Hg  0.7500  0.5000  0.0000  4 Pd 2.66
Pd  0.0000  0.5000  0.2500  4 Hg 2.66
Pd  0.0000  0.5000  0.7500  4 Hg 2.66
Pd  0.2500  0.0000  0.5000  4 Hg 2.66
Pd  0.5000  0.2500  0.0000  4 Hg 2.66
Pd  0.5000  0.7500  0.0000  4 Hg 2.66
Pd  0.7500  0.0000  0.5000  4 Hg 2.66

Values from the calculation:
Formation enthalpy at 0 K in meV per atom: 221.9
Space-group type: No. 223
M_tot in μB/f.u.: 0.0

=====

5.
AcHN after structural relaxation, computed with PBE.

Cell lengths 6.6877, 6.6877, 3.9385 Å; angles 92.65, 92.65, 31.72 degrees
Closest atoms and distances in Å follow each position.
Fractional coordinates of all 6 atoms:
Ac  0.1169  0.1169  0.2434  4 H 2.52-2.59, 2 N 2.58
Ac  0.8831  0.8831  0.7566  4 H 2.52-2.59, 2 N 2.58
H  0.2438  0.2438  0.7524  4 Ac 2.52-2.59, 4 H 2.67-2.71
H  0.7562  0.7562  0.2476  4 Ac 2.52-2.59, 4 H 2.67-2.71
N  0.4551  0.4551  0.3715  1 N 1.50
N  0.5449  0.5449  0.6285  1 N 1.50

Values from the calculation:
Space-group type: No. 12
Polymorph energy (0 for the lowest one) in eV/atom: 0.078
M_tot in μB/f.u.: 0.0

=====

6.
Mg6AlHg5 after structural relaxation, computed with PBE.

Cell lengths 8.3876, 8.3876, 4.8073 Å; angles 105.71, 105.71, 51.68 degrees
Closest atoms and distances in Å follow each position.
Fractional coordinates of all 12 atoms:
Mg  0.0787  0.5855  0.3310  7 Hg 2.98-3.13, 1 Al 3.05
Mg  0.2393  0.7607  0.0000  6 Hg 2.93-3.01, 2 Al 3.07
Mg  0.4145  0.9213  0.6690  7 Hg 2.98-3.13, 1 Al 3.05
Mg  0.5855  0.0787  0.3310  7 Hg 2.98-3.13, 1 Al 3.05
Mg  0.7607  0.2393  0.0000  6 Hg 2.93-3.01, 2 Al 3.07
Mg  0.9213  0.4145  0.6690  7 Hg 2.98-3.13, 1 Al 3.05
Al  0.5000  0.5000  0.5000  8 Mg 3.05-3.07, 4 Hg 3.24-3.32
Hg  0.0000  0.0000  0.5000  8 Mg 2.97-3.02
Hg  0.1704  0.1704  0.1693  8 Mg 2.98-3.01
Hg  0.3454  0.3454  0.8425  8 Mg 2.93-3.13, 1 Al 3.24
Hg  0.6546  0.6546  0.1575  8 Mg 2.93-3.13, 1 Al 3.24
Hg  0.8296  0.8296  0.8307  8 Mg 2.98-3.01

Values from the calculation:
Formation enthalpy at 0 K in meV per atom: -172.5
Space-group type: No. 12
M_tot in μB/f.u.: 0.0

=====

7.
HoInBi after structural relaxation, computed with PBE.

Cell lengths 4.3488, 4.3488, 11.8512 Å; angles 90.00, 90.00, 120.07 degrees
Closest atoms and distances in Å follow each position.
Fractional coordinates of all 6 atoms:
Ho  0.0013  0.9987  0.5000  3 Bi 3.14, 3 In 3.32-3.34
Ho  0.9987  0.0013  0.0000  3 Bi 3.14, 3 In 3.32-3.34
In  0.3331  0.6669  0.3151  3 Bi 3.11-3.12, 3 Ho 3.32-3.34
In  0.6669  0.3331  0.8151  3 Bi 3.11-3.12, 3 Ho 3.32-3.34
Bi  0.3344  0.6656  0.6592  3 In 3.11-3.12, 3 Ho 3.14
Bi  0.6656  0.3344  0.1592  3 In 3.11-3.12, 3 Ho 3.14

Values from the calculation:
Formation enthalpy at 0 K in meV per atom: -96.5
Space-group type: No. 36
M_tot in μB/f.u.: 0.0

=====

8.
Ac2HoPuO6 after structural relaxation, computed with PBE.

Cell lengths 6.0705, 6.2754, 10.6407 Å; angles 90.00, 124.67, 90.00 degrees
Closest atoms and distances in Å follow each position.
Fractional coordinates of all 20 atoms:
Ac  0.2320  0.0495  0.2468  4 O 2.48-2.60
Ac  0.2320  0.4505  0.7468  4 O 2.48-2.60
Ac  0.7680  0.5495  0.2532  4 O 2.48-2.60
Ac  0.7680  0.9505  0.7532  4 O 2.48-2.60
Ho  0.5000  0.0000  0.0000  6 O 2.26-2.29
Ho  0.5000  0.5000  0.5000  6 O 2.26-2.29
Pu  0.0000  0.0000  0.5000  6 O 2.33-2.38
Pu  0.0000  0.5000  0.0000  6 O 2.33-2.38
O  0.1386  0.1927  0.9401  1 Ho 2.26, 1 Pu 2.33, 1 Ac 2.50
O  0.1386  0.3073  0.4401  1 Ho 2.26, 1 Pu 2.33, 1 Ac 2.50
O  0.2347  0.7041  0.9296  1 Ho 2.29, 1 Pu 2.33, 1 Ac 2.51
O  0.2347  0.7959  0.4296  1 Ho 2.29, 1 Pu 2.33, 1 Ac 2.51
O  0.3772  0.0576  0.7553  1 Ho 2.29, 1 Pu 2.38, 1 Ac 2.48
O  0.3772  0.4424  0.2553  1 Ho 2.29, 1 Pu 2.38, 1 Ac 2.48
O  0.6228  0.5576  0.7447  1 Ho 2.29, 1 Pu 2.38, 1 Ac 2.48
O  0.6228  0.9424  0.2447  1 Ho 2.29, 1 Pu 2.38, 1 Ac 2.48
O  0.7653  0.2041  0.5704  1 Ho 2.29, 1 Pu 2.33, 1 Ac 2.51
O  0.7653  0.2959  0.0704  1 Ho 2.29, 1 Pu 2.33, 1 Ac 2.51
O  0.8614  0.6927  0.5599  1 Ho 2.26, 1 Pu 2.33, 1 Ac 2.50
O  0.8614  0.8073  0.0599  1 Ho 2.26, 1 Pu 2.33, 1 Ac 2.50

Values from the calculation:
Space-group type: No. 14
M_tot in μB/f.u.: 5.0
Energy relative to the elements, uncorrected in meV/atom: -3260

=====

9.
GaTcRu2 after structural relaxation, computed with PBE.

Cell lengths 4.8140, 4.8140, 4.8140 Å; angles 52.09, 52.09, 52.09 degrees
Closest atoms and distances in Å follow each position.
Fractional coordinates of all 4 atoms:
Ga  0.0000  0.0000  0.0000  1 Tc 2.50, 4 Ru 2.67-2.76
Tc  0.2012  0.2012  0.2012  1 Ga 2.50, 6 Ru 2.51-2.68
Ru  0.5800  0.5800  0.5800  1 Ru 2.47, 3 Tc 2.51, 3 Ga 2.67
Ru  0.7785  0.7785  0.7785  1 Ru 2.47, 3 Tc 2.68, 1 Ga 2.76

Values from the calculation:
Formation enthalpy at 0 K in meV per atom: 231.1
Space-group type: No. 160
M_tot in μB/f.u.: 0.0